1.
# CrTcCl2

Crystalline CrTcCl2 at its relaxed geometry (PBE-GGA, Alexandria via LeMat-Bulk).

Calculated values
For the density, the calculation gives 4.975 g/cm3. The value obtained for the density of states at the Fermi level is 3.69 states/eV/cell. Its size of the total moment is 1.82 Bohr magnetons per cell. The space-group type is P4mm. The energy above the most stable polymorph in this dataset is 17.5 kJ per mole of atoms.

Cell: 2.9529 2.9529 8.4562 Å, 90.00 90.00 90.00°
Last column: nearest neighbours and their distance in Å.
Fractional positions:
Cl (0.0000, 0.0000, 0.9150)  4 Tc 2.65, 4 Cl 2.95
Cr (0.0000, 0.0000, 0.5257)  4 Cl 2.63, 4 Tc 2.67
Tc (0.5000, 0.5000, 0.7220)  4 Cl 2.65, 4 Cr 2.67, 4 Tc 2.95
Cl (0.5000, 0.5000, 0.3373)  4 Cr 2.63

2.
# Pm2MgCd5

Crystalline Pm2MgCd5 at its relaxed geometry (PBE-GGA, Alexandria via LeMat-Bulk).

Calculated values
For the density, the calculation gives 7.409 g/cm3. The value obtained for the density of states at the Fermi level is 5.10 states/eV/cell. Its size of the total moment is 0.00 Bohr magnetons per cell. Its formation energy is -5.010 kcal/mol of atoms. The space-group type is I4/mmm. The energy above the most stable polymorph in this dataset is 0.0 kJ per mole of atoms.

Cell: 4.9096 4.9096 8.8574 Å, 106.09 106.09 90.00°
Last column: nearest neighbours and their distance in Å.
Fractional positions:
Cd (0.1135, 0.6135, 0.2269)  2 Mg 3.07, 2 Cd 3.07, 4 Pm 3.29-3.34
Mg (0.0000, 0.0000, 0.0000)  8 Cd 3.07
Pm (0.2524, 0.2524, 0.5048)  8 Cd 3.29-3.34, 4 Pm 3.47
Cd (0.6135, 0.1135, 0.2269)  2 Cd 3.07, 2 Mg 3.07, 4 Pm 3.29-3.34
Cd (0.3865, 0.8865, 0.7731)  2 Cd 3.07, 2 Mg 3.07, 4 Pm 3.29-3.34
Cd (0.5000, 0.5000, 0.0000)  8 Cd 3.07
Pm (0.7476, 0.7476, 0.4952)  8 Cd 3.29-3.34, 4 Pm 3.47
Cd (0.8865, 0.3865, 0.7731)  2 Mg 3.07, 2 Cd 3.07, 4 Pm 3.29-3.34

3.
# Ni2Mo2Rh

Crystalline Ni2Mo2Rh at its relaxed geometry (PBE-GGA, Alexandria via LeMat-Bulk).

Calculated values
For the density, the calculation gives 9.221 g/cm3. The value obtained for the density of states at the Fermi level is 4.75 states/eV/cell. Its size of the total moment is 0.00 Bohr magnetons per cell. Its formation energy is 8.050 kcal/mol of atoms. The space-group type is Cmmm. The energy above the most stable polymorph in this dataset is 28.8 kJ per mole of atoms.

Cell: 3.9240 3.9241 5.2028 Å, 90.00 90.00 112.10°
Last column: nearest neighbours and their distance in Å.
Fractional positions:
Ni (0.8277, 0.1723, 0.5000)  3 Ni 2.24-2.41, 2 Mo 2.47
Rh (0.0000, 0.0000, 0.0000)  4 Mo 2.57, 4 Ni 2.83
Mo (0.5000, 0.5000, 0.2599)  6 Ni 2.47-2.76, 2 Mo 2.50-2.70, 2 Rh 2.57
Ni (0.1723, 0.8277, 0.5000)  3 Ni 2.24-2.41, 2 Mo 2.47
Mo (0.5000, 0.5000, 0.7401)  6 Ni 2.47-2.76, 2 Mo 2.50-2.70, 2 Rh 2.57

4.
# LaMg2CdHg2

Crystalline LaMg2CdHg2 at its relaxed geometry (PBE-GGA, Alexandria via LeMat-Bulk).

Calculated values
For the density, the calculation gives 7.905 g/cm3. The value obtained for the density of states at the Fermi level is 3.47 states/eV/cell. Its size of the total moment is 0.00 Bohr magnetons per cell. Its formation energy is -8.202 kcal/mol of atoms. The space-group type is P-3m1.

Cell: 4.9240 4.9240 7.0136 Å, 90.00 90.00 120.00°
Last column: nearest neighbours and their distance in Å.
Fractional positions:
Mg (0.6667, 0.3333, 0.3264)  4 Hg 2.92-3.10, 3 Cd 3.09
Hg (0.6667, 0.3333, 0.7681)  4 Mg 2.92-3.10
Cd (0.0000, 0.0000, 0.5000)  6 Mg 3.09, 6 Hg 3.41
Hg (0.3333, 0.6667, 0.2319)  4 Mg 2.92-3.10
La (0.0000, 0.0000, 0.0000)  6 Hg 3.28, 2 Cd 3.51, 6 Mg 3.65
Mg (0.3333, 0.6667, 0.6736)  4 Hg 2.92-3.10, 3 Cd 3.09

5.
# Pr2MgCu4Ge3

Crystalline Pr2MgCu4Ge3 at its relaxed geometry (PBE-GGA, Alexandria via LeMat-Bulk).

Calculated values
For the density, the calculation gives 6.998 g/cm3. The value obtained for the density of states at the Fermi level is 4.37 states/eV/cell. Its size of the total moment is 0.00 Bohr magnetons per cell. Its formation energy is -10.976 kcal/mol of atoms. The space-group type is P-4m2.

Cell: 4.2063 4.2063 10.4376 Å, 90.00 90.00 90.00°
Last column: nearest neighbours and their distance in Å.
Fractional positions:
Pr (0.5000, 0.0000, 0.2334)  6 Ge 3.17-3.49, 8 Cu 3.22-3.25, 2 Mg 3.49
Ge (0.0000, 0.0000, 0.5000)  4 Cu 2.56
Cu (0.0000, 0.5000, 0.3595)  3 Ge 2.40-2.56, 2 Mg 2.56
Cu (0.0000, 0.0000, 0.0000)  4 Ge 2.50
Cu (0.5000, 0.5000, 0.0000)  4 Ge 2.50
Pr (0.0000, 0.5000, 0.7666)  6 Ge 3.17-3.49, 8 Cu 3.22-3.25, 2 Mg 3.49
Cu (0.5000, 0.0000, 0.6405)  3 Ge 2.40-2.56, 2 Mg 2.56
Ge (0.0000, 0.5000, 0.1294)  5 Cu 2.40-2.50
Ge (0.5000, 0.0000, 0.8706)  5 Cu 2.40-2.50
Mg (0.5000, 0.5000, 0.5000)  4 Cu 2.56

6.
# SrMg2Tl2

Crystalline SrMg2Tl2 at its relaxed geometry (PBE-GGA, Alexandria via LeMat-Bulk).

Calculated values
For the density, the calculation gives 6.258 g/cm3. The value obtained for the density of states at the Fermi level is 5.60 states/eV/cell. Its size of the total moment is 0.00 Bohr magnetons per cell. Its formation energy is -2.900 kcal/mol of atoms. The space-group type is P4/mbm. The energy above the most stable polymorph in this dataset is 9.8 kJ per mole of atoms.

Cell: 8.9110 8.9110 3.6423 Å, 90.00 90.00 90.00°
Last column: nearest neighbours and their distance in Å.
Fractional positions:
Mg (0.6467, 0.8533, 0.5000)  6 Tl 3.18
Tl (0.3535, 0.8535, 0.0000)  6 Mg 3.18, 2 Sr 3.41
Sr (0.0000, 0.0000, 0.0000)  4 Tl 3.41, 2 Sr 3.64
Tl (0.6465, 0.1465, 0.0000)  6 Mg 3.18, 2 Sr 3.41
Mg (0.1467, 0.6467, 0.5000)  6 Tl 3.18
Mg (0.8533, 0.3533, 0.5000)  6 Tl 3.18
Sr (0.5000, 0.5000, 0.0000)  4 Tl 3.41, 2 Sr 3.64
Mg (0.3533, 0.1467, 0.5000)  6 Tl 3.18
Tl (0.8535, 0.6465, 0.0000)  6 Mg 3.18, 2 Sr 3.41
Tl (0.1465, 0.3535, 0.0000)  6 Mg 3.18, 2 Sr 3.41

7.
# NbPBr3

Crystalline NbPBr3 at its relaxed geometry (PBE-GGA, Alexandria via LeMat-Bulk).

Calculated values
For the density, the calculation gives 4.224 g/cm3. The value obtained for the density of states at the Fermi level is 3.31 states/eV/cell. Its size of the total moment is 3.17 Bohr magnetons per cell. The space-group type is Pm-3m. The energy above the most stable polymorph in this dataset is 0.0 kJ per mole of atoms.

Cell: 5.2284 5.2284 5.2284 Å, 90.00 90.00 90.00°
Last column: nearest neighbours and their distance in Å.
Fractional positions:
Br (0.5000, 0.0000, 0.0000)  2 Nb 2.61
Br (0.0000, 0.5000, 0.0000)  2 Nb 2.61
Nb (0.0000, 0.0000, 0.0000)  6 Br 2.61
Br (0.0000, 0.0000, 0.5000)  2 Nb 2.61
P (0.5000, 0.5000, 0.5000)  12 Br 3.70

8.
# CaY2Te

Crystalline CaY2Te at its relaxed geometry (PBE-GGA, Alexandria via LeMat-Bulk).

Calculated values
For the density, the calculation gives 4.137 g/cm3. The value obtained for the density of states at the Fermi level is 7.70 states/eV/cell. Its size of the total moment is 2.33 Bohr magnetons per cell. The calculation puts the total energy at -4.831 eV per atom. The space-group type is I-42d.

Cell: 9.1815 9.1815 7.2782 Å, 50.89 50.89 90.00°
Last column: nearest neighbours and their distance in Å.
Fractional positions:
Y (0.0698, 0.6250, 0.2500)  2 Te 3.02
Y (0.6802, 0.1250, 0.2500)  2 Te 3.02
Y (0.8750, 0.9302, 0.7500)  2 Te 3.02
Ca (0.5000, 0.5000, 0.0000)  2 Te 3.29
Ca (0.2500, 0.7500, 0.5000)  2 Te 3.29
Te (0.7500, 0.2500, 0.5000)  4 Y 3.02, 2 Ca 3.29
Te (0.0000, 0.0000, 0.0000)  4 Y 3.02, 2 Ca 3.29
Y (0.3750, 0.3198, 0.7500)  2 Te 3.02